Here is a geometry-optimized TcH2Pt structure from the Alexandria database. Energies are from PBE-GGA.

Calculated values
ΔE to the lowest computed polymorph: 492 meV per atom
size of the total moment: 1.6 μB/f.u.
D(E_F): 0.59 states/eV/atom

a = 3.787 Å, b = 3.787 Å, c = 3.787 Å
α = 60.00°, β = 60.00°, γ = 60.00°
Positions (direct):
Tc1 0.000 0.000 0.000
H1 0.250 0.250 0.250
H2 0.750 0.750 0.750
Pt1 0.500 0.500 0.500

Here is a geometry-optimized Ho2ZnCl structure from the Alexandria database. Energies are from PBE-GGA.

Calculated values
formation energy without anion corrections: -0.742 eV per atom
ΔE to the lowest computed polymorph: 0 meV per atom
size of the total moment: 0.0 μB/f.u.
D(E_F): 0.71 states/eV/atom

a = 8.865 Å, b = 8.865 Å, c = 8.865 Å
α = 23.04°, β = 23.04°, γ = 23.04°
Positions (direct):
Ho1 0.000 0.000 0.000
Ho2 0.167 0.167 0.167
Zn1 0.584 0.584 0.584
Cl1 0.416 0.416 0.416

Here is a geometry-optimized DyEr3Co8 structure from the Alexandria database. Energies are from PBE-GGA.

Calculated values
size of the total moment: 7.5 μB/f.u.
D(E_F): 1.25 states/eV/atom
formation energy: -0.233 eV per atom

a = 8.742 Å, b = 8.742 Å, c = 8.742 Å
α = 33.52°, β = 33.52°, γ = 33.52°
Positions (direct):
Dy1 0.000 0.000 0.000
Er1 0.375 0.375 0.375
Er2 0.500 0.500 0.500
Er3 0.875 0.875 0.875
Co1 0.187 0.187 0.187
Co2 0.437 0.437 0.937
Co3 0.437 0.937 0.437
Co4 0.439 0.937 0.937
Co5 0.688 0.688 0.688
Co6 0.937 0.437 0.437
Co7 0.937 0.439 0.937
Co8 0.937 0.937 0.439

Here is a geometry-optimized CdHgRh2 structure from the Alexandria database. Energies are from PBE-GGA.

Calculated values
size of the total moment: 0.0 μB/f.u.
D(E_F): 0.68 states/eV/atom
formation energy: 0.117 eV per atom

a = 4.806 Å, b = 2.981 Å, c = 5.123 Å
α = 90.00°, β = 110.54°, γ = 90.00°
Positions (direct):
Cd1 0.000 0.000 0.000
Hg1 0.000 0.500 0.500
Rh1 0.500 0.000 0.500
Rh2 0.500 0.500 0.000

Here is a geometry-optimized Ca3Pa2N4 structure from the Alexandria database. Energies are from PBE-GGA.

Calculated values
formation energy without anion corrections: -1.120 eV per atom
size of the total moment: 1.2 μB/f.u.
D(E_F): 0.70 states/eV/atom

a = 6.251 Å, b = 6.251 Å, c = 8.721 Å
α = 121.23°, β = 121.23°, γ = 33.48°
Positions (direct):
Ca1 0.000 0.000 0.000
Ca2 0.203 0.203 0.806
Ca3 0.797 0.797 0.194
Pa1 0.402 0.402 0.612
Pa2 0.598 0.598 0.388
N1 0.206 0.206 0.332
N2 0.417 0.417 0.127
N3 0.583 0.583 0.873
N4 0.794 0.794 0.668

Here is a geometry-optimized SrZrHg2 structure from the Alexandria database. Energies are from PBE-GGA.

Calculated values
size of the total moment: 0.0 μB/f.u.
D(E_F): 1.08 states/eV/atom
formation energy: 0.039 eV per atom

a = 6.183 Å, b = 6.183 Å, c = 6.183 Å
α = 137.93°, β = 137.93°, γ = 61.01°
Positions (direct):
Sr1 0.000 0.000 0.000
Zr1 0.250 0.750 0.500
Hg1 0.500 0.500 0.000
Hg2 0.750 0.250 0.500

Here is a geometry-optimized KTe2Rh structure from the Alexandria database. Energies are from PBE-GGA.

Calculated values
formation energy without anion corrections: -0.367 eV per atom
size of the total moment: 0.0 μB/f.u.
D(E_F): 0.50 states/eV/atom

a = 6.460 Å, b = 6.460 Å, c = 6.460 Å
α = 148.73°, β = 121.46°, γ = 67.87°
Positions (direct):
K1 0.000 0.000 0.000
Te1 0.319 0.819 0.500
Te2 0.681 0.181 0.500
Rh1 0.500 0.500 0.000

Here is a geometry-optimized Tb6Mg7 structure from the Alexandria database. Energies are from PBE-GGA.

Calculated values
size of the total moment: 1.0 μB/f.u.
D(E_F): 1.26 states/eV/atom
formation energy: -0.032 eV per atom

a = 11.868 Å, b = 11.868 Å, c = 11.868 Å
α = 29.38°, β = 29.38°, γ = 29.38°
Positions (direct):
Tb1 0.047 0.047 0.047
Tb2 0.152 0.152 0.152
Tb3 0.334 0.334 0.334
Tb4 0.666 0.666 0.666
Tb5 0.848 0.848 0.848
Tb6 0.953 0.953 0.953
Mg1 0.089 0.595 0.595
Mg2 0.405 0.405 0.911
Mg3 0.405 0.911 0.405
Mg4 0.500 0.500 0.500
Mg5 0.595 0.089 0.595
Mg6 0.595 0.595 0.089
Mg7 0.911 0.405 0.405